Below is crystalline Pr12Ru3N5 at its relaxed geometry, with properties calculated at the GGA-PBE level.

Structure (CIF):
```
data_Pr12Ru3N5
_space_group_name_H-M_alt 'I a -3 d'
_space_group_IT_number 230
_space_group_name_Hall '-I 4bd 2c 3'
_cell_length_a 15.8481
_cell_length_b 15.8481
_cell_length_c 15.8481
_cell_angle_alpha 90.00
_cell_angle_beta 90.00
_cell_angle_gamma 90.00
loop_
_atom_site_label
_atom_site_type_symbol
_atom_site_fract_x
_atom_site_fract_y
_atom_site_fract_z
Pr1 Pr 0.0291 0.0551 0.6509
Ru1 Ru 0.0000 0.2500 0.1250
N1 N 0.0000 0.0000 0.0000
N2 N 0.0000 0.2500 0.3750
```

---

Below is crystalline PrSiRu2N at its relaxed geometry, with properties calculated at the GGA-PBE level.

Structure (CIF):
```
data_PrSiRu2N
_space_group_name_H-M_alt 'C m c m'
_space_group_IT_number 63
_space_group_name_Hall '-C 2c 2'
_cell_length_a 3.8480
_cell_length_b 11.3399
_cell_length_c 7.1812
_cell_angle_alpha 90.00
_cell_angle_beta 90.00
_cell_angle_gamma 90.00
loop_
_atom_site_label
_atom_site_type_symbol
_atom_site_fract_x
_atom_site_fract_y
_atom_site_fract_z
Pr1 Pr 0.0000 0.0476 0.2500
Si1 Si 0.0000 0.2284 0.7500
Ru1 Ru 0.0000 0.3357 0.0543
N1 N 0.0000 0.5000 0.0000
```

---

Below is crystalline PrSiRuN at its relaxed geometry, with properties calculated at the GGA-PBE level.

Structure (CIF):
```
data_PrSiRuN
_space_group_name_H-M_alt 'P 4/n m m'
_space_group_IT_number 129
_cell_length_a 4.0103
_cell_length_b 4.0103
_cell_length_c 8.2126
_cell_angle_alpha 90.00
_cell_angle_beta 90.00
_cell_angle_gamma 90.00
loop_
_space_group_symop_operation_xyz
'x,y,z'
'-x,-y,-z'
'-y+1/2,x,z'
'y+1/2,-x,-z'
'-x+1/2,-y+1/2,z'
'x+1/2,y+1/2,-z'
'y,-x+1/2,z'
'-y,x+1/2,-z'
'x+1/2,-y,-z'
'-x+1/2,y,z'
'-y,-x,-z'
'y,x,z'
'-x,y+1/2,-z'
'x,-y+1/2,z'
'y+1/2,x+1/2,-z'
'-y+1/2,-x+1/2,z'
loop_
_atom_site_label
_atom_site_type_symbol
_atom_site_fract_x
_atom_site_fract_y
_atom_site_fract_z
Pr1 Pr 0.2500 0.2500 0.1603
Si1 Si 0.2500 0.2500 0.6526
Ru1 Ru 0.2500 0.7500 0.5000
N1 N 0.2500 0.2500 0.8680
```

---

Below is crystalline SrPr2RuN4 at its relaxed geometry, with properties calculated at the GGA-PBE level.

Structure (CIF):
```
data_SrPr2RuN4
_space_group_name_H-M_alt 'C m c m'
_space_group_IT_number 63
_space_group_name_Hall '-C 2c 2'
_cell_length_a 3.5922
_cell_length_b 12.4454
_cell_length_c 12.2001
_cell_angle_alpha 90.00
_cell_angle_beta 90.00
_cell_angle_gamma 90.00
loop_
_atom_site_label
_atom_site_type_symbol
_atom_site_fract_x
_atom_site_fract_y
_atom_site_fract_z
Sr1 Sr 0.0000 0.1145 0.2500
Pr1 Pr 0.0000 0.3683 0.0368
Ru1 Ru 0.0000 0.1579 0.7500
N1 N 0.0000 0.0000 0.0000
N2 N 0.0000 0.2617 0.6288
N3 N 0.0000 0.4111 0.2500
```

---

Below is crystalline TbPr2RuN4 at its relaxed geometry, with properties calculated at the GGA-PBE level.

Structure (CIF):
```
data_TbPr2RuN4
_space_group_name_H-M_alt 'C m c m'
_space_group_IT_number 63
_space_group_name_Hall '-C 2c 2'
_cell_length_a 3.4705
_cell_length_b 11.9781
_cell_length_c 12.2413
_cell_angle_alpha 90.00
_cell_angle_beta 90.00
_cell_angle_gamma 90.00
loop_
_atom_site_label
_atom_site_type_symbol
_atom_site_fract_x
_atom_site_fract_y
_atom_site_fract_z
Tb1 Tb 0.0000 0.1282 0.2500
Pr1 Pr 0.0000 0.3675 0.0427
Ru1 Ru 0.0000 0.1443 0.7500
N1 N 0.0000 0.0000 0.0000
N2 N 0.0000 0.2750 0.6399
N3 N 0.0000 0.4359 0.2500
```

---

Below is crystalline Pr2Tc2RuN6 at its relaxed geometry, with properties calculated at the GGA-PBE level.

Structure (CIF):
```
data_Pr2Tc2RuN6
_space_group_name_H-M_alt 'R -3 m'
_space_group_IT_number 166
_space_group_name_Hall '-R 3 2"'
_cell_length_a 5.9182
_cell_length_b 5.9182
_cell_length_c 16.0677
_cell_angle_alpha 90.00
_cell_angle_beta 90.00
_cell_angle_gamma 120.00
loop_
_atom_site_label
_atom_site_type_symbol
_atom_site_fract_x
_atom_site_fract_y
_atom_site_fract_z
Pr1 Pr 0.0000 0.0000 0.2048
Tc1 Tc 0.0000 0.0000 0.4289
Ru1 Ru 0.0000 0.0000 0.0000
N1 N 0.0251 0.5126 0.7457
```

---

Below is crystalline PrU2RuN4 at its relaxed geometry, with properties calculated at the GGA-PBE level.

Structure (CIF):
```
data_PrU2RuN4
_space_group_name_H-M_alt 'C m c m'
_space_group_IT_number 63
_space_group_name_Hall '-C 2c 2'
_cell_length_a 3.4364
_cell_length_b 11.6825
_cell_length_c 11.5576
_cell_angle_alpha 90.00
_cell_angle_beta 90.00
_cell_angle_gamma 90.00
loop_
_atom_site_label
_atom_site_type_symbol
_atom_site_fract_x
_atom_site_fract_y
_atom_site_fract_z
Pr1 Pr 0.0000 0.1042 0.2500
U1 U 0.0000 0.3701 0.0561
Ru1 Ru 0.0000 0.1572 0.7500
N1 N 0.0000 0.0000 0.0000
N2 N 0.0000 0.2704 0.6049
N3 N 0.0000 0.4479 0.2500
```

---

Below is crystalline PrY2RuN4 at its relaxed geometry, with properties calculated at the GGA-PBE level.

Structure (CIF):
```
data_PrY2RuN4
_space_group_name_H-M_alt 'C m c m'
_space_group_IT_number 63
_space_group_name_Hall '-C 2c 2'
_cell_length_a 3.4573
_cell_length_b 11.7302
_cell_length_c 11.6755
_cell_angle_alpha 90.00
_cell_angle_beta 90.00
_cell_angle_gamma 90.00
loop_
_atom_site_label
_atom_site_type_symbol
_atom_site_fract_x
_atom_site_fract_y
_atom_site_fract_z
Pr1 Pr 0.0000 0.1183 0.2500
Y1 Y 0.0000 0.3689 0.0425
Ru1 Ru 0.0000 0.1451 0.7500
N1 N 0.0000 0.0000 0.0000
N2 N 0.0000 0.2665 0.6271
N3 N 0.0000 0.4392 0.2500
```

---

Below is crystalline PrZr2RuN4 at its relaxed geometry, with properties calculated at the GGA-PBE level.

Structure (CIF):
```
data_PrZr2RuN4
_space_group_name_H-M_alt 'C m c m'
_space_group_IT_number 63
_space_group_name_Hall '-C 2c 2'
_cell_length_a 3.2946
_cell_length_b 11.4673
_cell_length_c 11.3435
_cell_angle_alpha 90.00
_cell_angle_beta 90.00
_cell_angle_gamma 90.00
loop_
_atom_site_label
_atom_site_type_symbol
_atom_site_fract_x
_atom_site_fract_y
_atom_site_fract_z
Pr1 Pr 0.0000 0.1119 0.2500
Zr1 Zr 0.0000 0.3690 0.0486
Ru1 Ru 0.0000 0.1509 0.7500
N1 N 0.0000 0.0000 0.0000
N2 N 0.0000 0.2689 0.6117
N3 N 0.0000 0.4504 0.2500
```

---

Below is crystalline Pr4S2N at its relaxed geometry, with properties calculated at the GGA-PBE level.

Structure (CIF):
```
data_Pr4S2N
_space_group_name_H-M_alt 'R -3 m'
_space_group_IT_number 166
_space_group_name_Hall '-R 3 2"'
_cell_length_a 3.8863
_cell_length_b 3.8863
_cell_length_c 39.8052
_cell_angle_alpha 90.00
_cell_angle_beta 90.00
_cell_angle_gamma 120.00
loop_
_atom_site_label
_atom_site_type_symbol
_atom_site_fract_x
_atom_site_fract_y
_atom_site_fract_z
Pr1 Pr 0.0000 0.0000 0.1276
Pr2 Pr 0.0000 0.0000 0.2983
S1 S 0.0000 0.0000 0.4151
N1 N 0.0000 0.0000 0.0000
```

---

# Pr3S2N (GGA-PBE, optimized geometry)
data_Pr3S2N
_space_group_name_H-M_alt 'P 63/m m c'
_space_group_IT_number 194
_space_group_name_Hall '-P 6c 2c'
_cell_length_a 3.8519
_cell_length_b 3.8519
_cell_length_c 20.8013
_cell_angle_alpha 90.00
_cell_angle_beta 90.00
_cell_angle_gamma 120.00
loop_
_atom_site_label
_atom_site_type_symbol
_atom_site_fract_x
_atom_site_fract_y
_atom_site_fract_z
Pr1 Pr 0.0000 0.0000 0.0000
Pr2 Pr 0.3333 0.6667 0.1753
S1 S 0.3333 0.6667 0.5875
N1 N 0.0000 0.0000 0.2500
# - E above lowest polymorph: 137 meV per atom

---

# Pr3S2N (GGA-PBE, optimized geometry)
data_Pr3S2N
_space_group_name_H-M_alt 'C 1 2/c 1'
_space_group_IT_number 15
_space_group_name_Hall '-C 2yc'
_cell_length_a 7.0115
_cell_length_b 11.9579
_cell_length_c 6.7765
_cell_angle_alpha 90.00
_cell_angle_beta 109.13
_cell_angle_gamma 90.00
loop_
_atom_site_label
_atom_site_type_symbol
_atom_site_fract_x
_atom_site_fract_y
_atom_site_fract_z
Pr1 Pr 0.2136 0.0725 0.0040
Pr2 Pr 0.2500 0.2500 0.5000
S1 S 0.0000 0.2561 0.7500
S2 S 0.0000 0.4178 0.2500
N1 N 0.0000 0.0754 0.2500
# - E above lowest polymorph: 0 meV per atom

---

# Pr4S3N2 (GGA-PBE, optimized geometry)
data_Pr4S3N2
_space_group_name_H-M_alt 'C 1 2/m 1'
_space_group_IT_number 12
_space_group_name_Hall '-C 2y'
_cell_length_a 13.6107
_cell_length_b 4.0340
_cell_length_c 10.4200
_cell_angle_alpha 90.00
_cell_angle_beta 129.10
_cell_angle_gamma 90.00
loop_
_atom_site_label
_atom_site_type_symbol
_atom_site_fract_x
_atom_site_fract_y
_atom_site_fract_z
Pr1 Pr 0.0637 0.0000 0.3571
Pr2 Pr 0.2457 0.5000 0.8528
S1 S 0.0000 0.5000 0.5000
S2 S 0.1685 0.5000 0.2813
N1 N 0.1471 0.0000 0.8597
# - E above lowest polymorph: 0 meV per atom

---

Below is crystalline Pr4S4N at its relaxed geometry, with properties calculated at the GGA-PBE level.

Structure (CIF):
```
data_Pr4S4N
_space_group_name_H-M_alt 'I -4 2 m'
_space_group_IT_number 121
_space_group_name_Hall 'I -4 2'
_cell_length_a 6.7428
_cell_length_b 6.7428
_cell_length_c 11.7967
_cell_angle_alpha 90.00
_cell_angle_beta 90.00
_cell_angle_gamma 90.00
loop_
_atom_site_label
_atom_site_type_symbol
_atom_site_fract_x
_atom_site_fract_y
_atom_site_fract_z
Pr1 Pr 0.1993 0.1993 0.1172
S1 S 0.0000 0.0000 0.2924
S2 S 0.0000 0.5000 0.0000
N1 N 0.0000 0.0000 0.0000
```

---

Below is crystalline Pr4SN2 at its relaxed geometry, with properties calculated at the GGA-PBE level.

Structure (CIF):
```
data_Pr4SN2
_space_group_name_H-M_alt 'C 1 2/m 1'
_space_group_IT_number 12
_space_group_name_Hall '-C 2y'
_cell_length_a 14.8427
_cell_length_b 3.7263
_cell_length_c 6.4722
_cell_angle_alpha 90.00
_cell_angle_beta 115.41
_cell_angle_gamma 90.00
loop_
_atom_site_label
_atom_site_type_symbol
_atom_site_fract_x
_atom_site_fract_y
_atom_site_fract_z
Pr1 Pr 0.1447 0.0000 0.3124
Pr2 Pr 0.1462 0.5000 0.8113
S1 S 0.0000 0.5000 0.0000
N1 N 0.2448 0.0000 0.7461
```

---

Below is crystalline Pr4SN3 at its relaxed geometry, with properties calculated at the GGA-PBE level.

Structure (CIF):
```
data_Pr4SN3
_space_group_name_H-M_alt 'C m m m'
_space_group_IT_number 65
_space_group_name_Hall '-C 2 2'
_cell_length_a 7.6405
_cell_length_b 10.7461
_cell_length_c 3.7753
_cell_angle_alpha 90.00
_cell_angle_beta 90.00
_cell_angle_gamma 90.00
loop_
_atom_site_label
_atom_site_type_symbol
_atom_site_fract_x
_atom_site_fract_y
_atom_site_fract_z
Pr1 Pr 0.0000 0.2401 0.0000
Pr2 Pr 0.2283 0.0000 0.5000
S1 S 0.0000 0.5000 0.0000
N1 N 0.0000 0.0000 0.0000
N2 N 0.2500 0.2500 0.5000
```

---

# Pr3SN2 (GGA-PBE, optimized geometry)
data_Pr3SN2
_space_group_name_H-M_alt 'C m c m'
_space_group_IT_number 63
_space_group_name_Hall '-C 2c 2'
_cell_length_a 3.8994
_cell_length_b 13.0536
_cell_length_c 10.1679
_cell_angle_alpha 90.00
_cell_angle_beta 90.00
_cell_angle_gamma 90.00
loop_
_atom_site_label
_atom_site_type_symbol
_atom_site_fract_x
_atom_site_fract_y
_atom_site_fract_z
Pr1 Pr 0.0000 0.0705 0.2500
Pr2 Pr 0.0000 0.3779 0.0680
S1 S 0.0000 0.2518 0.7500
N1 N 0.0000 0.0000 0.0000
N2 N 0.0000 0.4730 0.2500
# - E above lowest polymorph: 0 meV per atom

---

Below is crystalline Pr8S6N at its relaxed geometry, with properties calculated at the GGA-PBE level.

Structure (CIF):
```
data_Pr8S6N
_space_group_name_H-M_alt 'P -3'
_space_group_IT_number 147
_space_group_name_Hall '-P 3'
_cell_length_a 10.1412
_cell_length_b 10.1412
_cell_length_c 4.2221
_cell_angle_alpha 90.00
_cell_angle_beta 90.00
_cell_angle_gamma 120.00
loop_
_atom_site_label
_atom_site_type_symbol
_atom_site_fract_x
_atom_site_fract_y
_atom_site_fract_z
Pr1 Pr 0.0298 0.3039 0.2655
Pr2 Pr 0.3333 0.6667 0.7457
S1 S 0.1262 0.6475 0.2435
N1 N 0.0000 0.0000 0.5000
```

---

Asked for formation energy (no corrections) across the records above, the calculation gives -11.973, -3.736, -4.140, -5.484, -6.293, -2.067, -8.493, -7.950, -8.532, -10.298, -9.622, -10.442, -16.193, -15.810, -8.931, -11.509, -8.200, -18.921 eV per formula unit in order.
Asked for magnetization across the records above, the calculation gives 0.00, 0.00, 0.00, 0.00, 0.00, 0.00, 1.90, 0.00, 0.00, 1.30, 0.00, 0.00, 0.00, 0.01, 0.06, 0.00, 0.52, 0.00 μB/f.u. in order.